Here is an optimized crystal structure of Bi2HPd2 from Alexandria. Energies are from PBE.

The offset from the most stable computed form comes out at 0 meV/atom. Its magnetic moment is 0.00 μB/f.u.

It has space group I4/mmm (No. 139), with a = 5.660 Å, b = 5.660 Å, c = 6.294 Å, α = 90.00°, β = 90.00° and γ = 90.00°. Symmetry generates all atoms from Bi at (0.000, 0.500, 0.250), H at (0.000, 0.000, 0.000) and Pd at (0.000, 0.000, 0.279).